Entry from Alexandria via LeMat-Bulk: a relaxed structure of YSbOs (PBE).

uncorrected formation energy: -0.17 eV/atom
ρ: 10.40 g/cm³
space-group type: I4mm (107)

Structure (POSCAR):
```
YSbOs
1.0
6.338 0.002 -0.002
5.480 3.184 0.000
0.858 0.230 3.174
Y Os Sb
1 1 1
Cartesian
7.980 2.151 1.110
11.692 3.152 0.034
4.821 1.299 2.026
```